(1)
Compound: Ta2ReCl
Source: Alexandria
Functional: PBE-GGA
Structure: optimized geometry

Values from the calculation:
Density of states at the Fermi level = 3.96 states/eV per cell
Relative energy among the computed polymorphs = 200 meV per atom
Space group = No. 160
Formation energy (no corrections) = 37 kJ/mol of formula units

Lattice parameters (Å, degrees): 9.5210 9.5210 9.5210 18.73 18.73 18.73
Atoms (fractional coordinates):
Ta 0.0000 0.0000 0.0000
Ta 0.2466 0.2466 0.2466
Re 0.7327 0.7327 0.7327
Cl 0.5170 0.5170 0.5170

=====

(2)
Compound: Ta2ReCl
Source: Alexandria
Functional: PBE-GGA
Structure: optimized geometry

Values from the calculation:
Density of states at the Fermi level = 2.97 states/eV per cell
Relative energy among the computed polymorphs = 160 meV per atom
Space group = No. 123
Formation energy (no corrections) = 22 kJ/mol of formula units

Lattice parameters (Å, degrees): 3.0591 3.0591 7.5017 90.00 90.00 90.00
Atoms (fractional coordinates):
Ta 0.0000 0.0000 0.2208
Ta 0.0000 0.0000 0.7792
Re 0.5000 0.5000 0.0000
Cl 0.5000 0.5000 0.5000

=====

(3)
Compound: Ta2ReCl
Source: Alexandria
Functional: PBE-GGA
Structure: optimized geometry

Values from the calculation:
Density of states at the Fermi level = 6.12 states/eV per cell
Relative energy among the computed polymorphs = 1170 meV per atom
Space group = No. 122
Formation energy (no corrections) = 411 kJ/mol of formula units

Lattice parameters (Å, degrees): 7.9015 7.9015 7.9015 143.83 143.83 52.08
Atoms (fractional coordinates):
Ta 0.0997 0.6250 0.9747
Ta 0.3750 0.3497 0.4747
Ta 0.6503 0.1250 0.0253
Ta 0.8750 0.9003 0.5253
Re 0.2500 0.7500 0.5000
Re 0.5000 0.5000 0.0000
Cl 0.0000 0.0000 0.0000
Cl 0.7500 0.2500 0.5000

=====

(4)
Compound: Ta3ReCl
Source: Alexandria
Functional: PBE-GGA
Structure: optimized geometry

Values from the calculation:
Density of states at the Fermi level = 7.93 states/eV per cell
Relative energy among the computed polymorphs = 342 meV per atom
Space group = No. 221
Formation energy (no corrections) = 689 kJ/mol of formula units

Lattice parameters (Å, degrees): 4.9241 4.9241 4.9241 90.00 90.00 90.00
Atoms (fractional coordinates):
Ta 0.0000 0.0000 0.5000
Ta 0.0000 0.5000 0.0000
Ta 0.5000 0.0000 0.0000
Re 0.0000 0.0000 0.0000
Cl 0.5000 0.5000 0.5000